Here is an optimized crystal structure of Li3CuTc from Alexandria via LeMat-Bulk. Energies are from PBE.

The calculation puts the magnetic moment at 0.00 μB/f.u. The calculation puts the formation energy at 0.985 eV/atom. Its distance to the lowest polymorph of the same formula is 0.000 eV per atom. As for the density of states at the Fermi level: 1.58 states/eV per atom.

abc: 4.2166 4.2166 4.2166
angles: 90.00 90.00 90.00
Space group Pm-3m (No. 221)
Asymmetric unit:
Li1 0.0000 0.0000 0.5000
Cu1 0.0000 0.0000 0.0000
Tc1 0.5000 0.5000 0.5000

Here is an optimized crystal structure of LiCu2Tc from Alexandria via LeMat-Bulk. Energies are from PBE.

The calculation puts the magnetic moment at 0.00 μB/f.u. The calculation puts the formation energy at 0.319 eV/atom. Its distance to the lowest polymorph of the same formula is 0.214 eV per atom. As for the density of states at the Fermi level: 0.69 states/eV per atom.

abc: 2.5267 4.4600 4.5452
angles: 90.00 90.00 90.00
Space group Pmmm (No. 47)
Asymmetric unit:
Li1 0.0000 0.0000 0.0000
Cu1 0.0000 0.5000 0.5000
Cu2 0.5000 0.0000 0.5000
Tc1 0.5000 0.5000 0.0000

Here is an optimized crystal structure of Li3CuTc from Alexandria via LeMat-Bulk. Energies are from PBE.

The calculation puts the magnetic moment at 2.93 μB/f.u. The calculation puts the formation energy at 1.335 eV/atom. Its distance to the lowest polymorph of the same formula is 0.350 eV per atom. As for the density of states at the Fermi level: 0.62 states/eV per atom.

abc: 4.7591 4.7591 4.7591
angles: 90.00 90.00 90.00
Space group Pm-3m (No. 221)
Asymmetric unit:
Li1 0.0000 0.0000 0.5000
Cu1 0.5000 0.5000 0.5000
Tc1 0.0000 0.0000 0.0000

Here is an optimized crystal structure of LiCu2Tc from Alexandria via LeMat-Bulk. Energies are from PBE.

The calculation puts the magnetic moment at 0.59 μB/f.u. The calculation puts the formation energy at 0.106 eV/atom. Its distance to the lowest polymorph of the same formula is 0.001 eV per atom. As for the density of states at the Fermi level: 0.44 states/eV per atom.

abc: 5.6051 7.5177 2.4847
angles: 90.00 90.00 90.00
Space group Cmmm (No. 65)
Asymmetric unit:
Li1 0.0000 0.0000 0.0000
Cu1 0.2500 0.2500 0.5000
Tc1 0.0000 0.5000 0.0000